VASP calculation (PBE+U) on a relaxed SrNi3F crystal.

Computed properties:
- final energy (eV per atom) = -2.06

Cell and atoms, written as CIF:
```
data_SrNi3F
_chemical_formula_sum 'Sr1 Ni3 F1'
_space_group_name_H-M_alt 'P m -3 m'
_space_group_IT_number 221
_space_group_name_Hall '-P 4 2 3'
_cell_length_a 4.4906
_cell_length_b 4.4906
_cell_length_c 4.4906
_cell_angle_alpha 90.00
_cell_angle_beta 90.00
_cell_angle_gamma 90.00
loop_
_atom_site_label
_atom_site_type_symbol
_atom_site_fract_x
_atom_site_fract_y
_atom_site_fract_z
Sr1 Sr 0.0000 0.0000 0.0000
Ni1 Ni 0.0000 0.5000 0.5000
F1 F 0.5000 0.5000 0.5000
```